# 1
DFT (PBE) results for a relaxed structure of Hf2BrF.

## Properties
Fermi-level density of states in states/eV/f.u.: 2.57
Formation energy without anion corrections in eV/atom: -0.3389
Offset from the most stable computed form in meV per atom: 0.0

The structure in POSCAR format:
```
Hf2BrF
1.0
-2.9127 2.9127 5.0505
2.9127 -2.9127 5.0505
2.9127 2.9127 -5.0505
Hf Br F
4 2 2
direct
0.0532 0.6250 0.9282
0.3750 0.3032 0.4282
0.6968 0.1250 0.0718
0.8750 0.9468 0.5718
0.2500 0.7500 0.5000
0.5000 0.5000 0.0000
0.0000 0.0000 0.0000
0.7500 0.2500 0.5000
```

=====

# 2
DFT (PBE) results for a relaxed structure of Ga2AgCl6.

## Properties
Fermi-level density of states in states/eV/f.u.: 2.86
Formation energy without anion corrections in eV/atom: -0.7626
Offset from the most stable computed form in meV per atom: 64.0

The structure in POSCAR format:
```
Ga2AgCl6
1.0
7.6115 -6.5840 0.0000
7.6115 6.5840 0.0000
-1.1657 0.0000 6.6953
Ga Ag Cl
4 2 12
direct
0.0027 0.8348 0.7255
0.1652 0.9973 0.7745
0.8348 0.0027 0.2255
0.9973 0.1652 0.2745
0.4986 0.5014 0.7500
0.5014 0.4986 0.2500
0.0572 0.6300 0.7933
0.0855 0.1961 0.6195
0.1961 0.0855 0.1195
0.3700 0.9428 0.7067
0.3812 0.3849 0.4551
0.3849 0.3812 0.9551
0.6151 0.6188 0.0449
0.6188 0.6151 0.5449
0.6300 0.0572 0.2933
0.8039 0.9145 0.8805
0.9145 0.8039 0.3805
0.9428 0.3700 0.2067
```

=====

# 3
DFT (PBE) results for a relaxed structure of Sm5Er4Zn.

## Properties
ΔE_f in eV per atom: -0.046
Fermi-level density of states in states/eV/f.u.: 13.07

The structure in POSCAR format:
```
Sm5Er4Zn
1.0
3.5948 0.0000 0.0000
0.0000 3.5948 0.0000
0.0000 0.0000 23.6770
Sm Er Zn
5 4 1
direct
0.0000 0.0000 0.0000
0.0000 0.0000 0.2107
0.0000 0.0000 0.4229
0.0000 0.0000 0.5771
0.0000 0.0000 0.7893
0.5000 0.5000 0.1051
0.5000 0.5000 0.3154
0.5000 0.5000 0.6846
0.5000 0.5000 0.8949
0.5000 0.5000 0.5000
```